# 1
NaMnFeOs2 GGA-PBE relaxed; uncorrected energy = -0.2558 Ha/atom
1.0
4.4419 0.0000 0.0000
0.0000 4.6434 0.0000
0.0000 0.0000 4.4419
Na Mn Os Fe
1 1 2 1
direct
0.5000 0.5000 0.5000
0.0000 0.5000 0.0000
0.0000 0.0000 0.5000
0.5000 0.0000 0.0000
0.0000 0.0000 0.0000



# 2
Na3Mn3FeS8 GGA-PBE relaxed; energy relative to the elements, uncorrected = -0.713 eV per atom
1.0
6.8115 0.0000 0.0000
-3.4057 5.8930 -0.0196
0.0000 -3.9039 6.7050
Na Mn Fe S
3 3 1 8
direct
0.0000 0.0000 0.0000
0.0000 0.5000 0.0000
0.5000 0.5000 0.0000
0.5000 0.0000 0.5000
0.5000 0.5000 0.5000
0.0000 0.5000 0.5000
0.0000 0.0000 0.5000
0.2691 0.5381 0.3074
0.7309 0.4619 0.6926
0.7727 0.5453 0.3102
0.2273 0.4547 0.6898
0.7727 0.0374 0.3103
0.2273 0.9626 0.6897
0.2647 0.0374 0.3103
0.7353 0.9626 0.6897